Here is a geometry-optimized Pm8Ho2In structure from the Alexandria database. Energies are from PBE.

Summary:
Crystal system: monoclinic
Energy of formation: -0.07 eV/atom
Symmetry: C2/m

Cell: 5.0336 8.0617 9.4765 Å, 105.12 105.40 90.00°
Fractional positions:
Pm1 0.4096 0.5571 0.8192
Pm2 0.6793 0.9088 0.3587
Pm3 0.8638 0.8210 0.7276
Pm4 0.3207 0.0912 0.6413
Pm5 0.0449 0.7274 0.0897
Pm6 0.1362 0.1790 0.2724
Pm7 0.9551 0.2726 0.9103
Pm8 0.5904 0.4429 0.1808
In1 0.5000 0.0000 0.0000
Ho1 0.2245 0.6335 0.4490
Ho2 0.7755 0.3665 0.5510

---

Here is a geometry-optimized Pm2HoIn structure from the Alexandria database. Energies are from PBE.

Summary:
Crystal system: trigonal
Relative energy among the computed polymorphs: 0.348 eV per atom
Energy of formation: 0.08 eV/atom
Symmetry: R-3m

Cell: 3.5071 3.5071 12.2600 Å, 81.78 81.78 60.00°
Fractional positions:
Ho1 0.0000 0.0000 0.0000
Pm1 0.9060 0.9060 0.2821
Pm2 0.0940 0.0940 0.7179
In1 0.5000 0.5000 0.5000

---

E_tot, record by record: -50.64 -16.50 eV per cell